This record from the Alexandria database describes a geometry-optimized ThSi2N4 structure. The functional is PBE.

Properties
M_tot = 0.00 Bohr magnetons per cell
ΔE_f (raw) = -7.54 eV per formula unit
ρ = 6701 kg/m³
SG = I-42d

Cell lengths 6.051, 6.111, 6.111 Å; angles 75.81, 60.33, 60.33 degrees
Fractional positions:
Si  0.375  0.174  0.326
N  0.588  0.732  0.847
Si  0.451  0.674  0.174
Th  0.000  0.000  0.000
Si  0.299  0.326  0.826
N  0.565  0.847  0.268
N  0.070  0.768  0.347
N  0.162  0.653  0.768
N  0.167  0.268  0.153
N  0.185  0.232  0.653
Si  0.875  0.826  0.674
N  0.583  0.347  0.232
N  0.680  0.153  0.732
Th  0.750  0.500  0.500